(1)
Mg2P: optimized geometry, GGA-PBE.

Values from the calculation:
DOS at the Fermi energy ... 5.48 states/eV/cell
Total moment ... 0.0 μB/f.u.
Final energy ... -31.71 eV/cell
V ... 25.3 Å³ per atom

Structure (CIF):
```
data_Mg2P
_chemical_formula_sum 'Mg8 P4'
_cell_length_a 5.8321
_cell_length_b 5.8321
_cell_length_c 10.2896
_cell_angle_alpha 90.00
_cell_angle_beta 90.00
_cell_angle_gamma 120.00
_space_group_name_H-M_alt 'P 63/m m c'
_space_group_IT_number 194
_space_group_name_Hall '-P 6c 2c'
loop_
_atom_site_label
_atom_site_type_symbol
_atom_site_fract_x
_atom_site_fract_y
_atom_site_fract_z
Mg1 Mg 0.0000 0.0000 0.0000
Mg2 Mg 0.1710 0.3420 0.2500
P1 P 0.3333 0.6667 0.0578
```

***

(2)
MgP3: optimized geometry, GGA-PBE.

Values from the calculation:
DOS at the Fermi energy ... 1.30 states/eV/cell
Total moment ... 0.0 μB/f.u.
Final energy ... -16.78 eV/cell
V ... 16.6 Å³ per atom

Structure (CIF):
```
data_MgP3
_chemical_formula_sum 'Mg1 P3'
_cell_length_a 3.6059
_cell_length_b 3.6059
_cell_length_c 5.1118
_cell_angle_alpha 90.00
_cell_angle_beta 90.00
_cell_angle_gamma 90.00
_space_group_name_H-M_alt 'P 4/m m m'
_space_group_IT_number 123
_space_group_name_Hall '-P 4 2'
loop_
_atom_site_label
_atom_site_type_symbol
_atom_site_fract_x
_atom_site_fract_y
_atom_site_fract_z
Mg1 Mg 0.0000 0.0000 0.0000
P1 P 0.0000 0.0000 0.5000
P2 P 0.5000 0.5000 0.2870
```

***

(3)
Mg2P: optimized geometry, GGA-PBE.

Values from the calculation:
Total moment ... 0.0 μB/f.u.
Final energy ... -19.75 eV/cell
V ... 23.3 Å³ per atom

Structure (CIF):
```
data_Mg2P
_chemical_formula_sum 'Mg4 P2'
_cell_length_a 4.1357
_cell_length_b 4.1473
_cell_length_c 9.3836
_cell_angle_alpha 88.61
_cell_angle_beta 89.06
_cell_angle_gamma 60.47
_space_group_name_H-M_alt 'P -1'
_space_group_IT_number 2
_space_group_name_Hall '-P 1'
loop_
_atom_site_label
_atom_site_type_symbol
_atom_site_fract_x
_atom_site_fract_y
_atom_site_fract_z
Mg1 Mg 0.0034 0.0234 0.1532
Mg2 Mg 0.3307 0.3259 0.5991
P1 P 0.3364 0.3432 0.3110
```

***

(4)
Mg2P: optimized geometry, GGA-PBE.

Values from the calculation:
DOS at the Fermi energy ... 0.23 states/eV/cell
Total moment ... 0.0 μB/f.u.
Final energy ... -39.21 eV/cell
V ... 22.8 Å³ per atom

Structure (CIF):
```
data_Mg2P
_chemical_formula_sum 'Mg8 P4'
_cell_length_a 6.2021
_cell_length_b 13.1141
_cell_length_c 4.4795
_cell_angle_alpha 90.00
_cell_angle_beta 131.21
_cell_angle_gamma 90.00
_space_group_name_H-M_alt 'C 1 2/m 1'
_space_group_IT_number 12
_space_group_name_Hall '-C 2y'
loop_
_atom_site_label
_atom_site_type_symbol
_atom_site_fract_x
_atom_site_fract_y
_atom_site_fract_z
Mg1 Mg 0.0000 0.2446 0.0000
Mg2 Mg 0.2380 0.0000 0.4978
P1 P 0.0000 0.3447 0.5000
```